A plane-wave DFT calculation with GGA-PBE was carried out for an optimized crystal structure of KIn3Ir.

```
data_KIn3Ir
_chemical_formula_sum 'K4 In12 Ir4'
_cell_length_a 5.205
_cell_length_b 5.205
_cell_length_c 26.860
_cell_angle_alpha 90.00
_cell_angle_beta 90.00
_cell_angle_gamma 90.00
_symmetry_space_group_name_H-M 'I -4 m 2'
_symmetry_Int_Tables_number 119
_symmetry_space_group_name_Hall 'I -4 -2'
loop_
_atom_site_label
_atom_site_type_symbol
_atom_site_fract_x
_atom_site_fract_y
_atom_site_fract_z
_atom_site_occupancy
K1 K 0.000 0.000 0.000 1
K2 K 0.000 0.500 0.250 1
In1 In 0.000 0.000 0.419 1
In2 In 0.000 0.246 0.126 1
Ir1 Ir 0.000 0.500 0.605 1
```

Formation energy ... 1.34 eV per formula unit
E above lowest polymorph ... 426 meV/atom
Uncorrected energy ... -67.32 eV per cell
Total magnetization ... 0.00 μB per formula unit



A plane-wave DFT calculation with GGA-PBE was carried out for an optimized crystal structure of K2InIr.

```
data_K2InIr
_chemical_formula_sum 'K8 In4 Ir4'
_cell_length_a 4.188
_cell_length_b 4.188
_cell_length_c 23.594
_cell_angle_alpha 90.00
_cell_angle_beta 90.00
_cell_angle_gamma 90.00
_symmetry_space_group_name_H-M 'I -4 2 d'
_symmetry_Int_Tables_number 122
_symmetry_space_group_name_Hall 'I -4 2bw'
loop_
_atom_site_label
_atom_site_type_symbol
_atom_site_fract_x
_atom_site_fract_y
_atom_site_fract_z
_atom_site_occupancy
K1 K 0.241 0.250 0.125 1
In1 In 0.000 0.000 0.500 1
Ir1 Ir 0.000 0.000 0.000 1
```

Formation energy ... 2.65 eV per formula unit
Uncorrected energy ... -44.58 eV per cell
Total magnetization ... 0.00 μB per formula unit